Record 1
## CaAlTc2 (PBE-GGA)

Data for an optimized crystal structure of CaAlTc2.

## Properties
For the energy relative to the elements, the calculation gives 0.288 eV/atom.

Cell: 3.395 4.413 8.998 Å, 90.00 90.00 90.00°
Space group Cmmm (No. 65)
Unique sites:
Ca (0.000, 0.000, 0.000) (multiplicity 2)
Al (0.000, 0.000, 0.500) (multiplicity 2)
Tc (0.000, 0.500, 0.281) (multiplicity 4)


Record 2
## Ca2AlTc (PBE-GGA)

Data for an optimized crystal structure of Ca2AlTc.

## Properties
For the energy relative to the elements, the calculation gives -0.002 eV/atom.

Cell: 3.474 3.474 8.241 Å, 90.00 90.00 90.00°
Space group P4mm (No. 99)
Unique sites:
Ca (0.000, 0.000, 0.000) (multiplicity 1)
Ca (0.500, 0.500, 0.395) (multiplicity 1)
Al (0.500, 0.500, 0.742) (multiplicity 1)
Tc (0.000, 0.000, 0.650) (multiplicity 1)